[1]
VASP calculation (PBE-GGA) on TaPdO3 after structural relaxation.

Cell lengths 3.9394, 3.9394, 3.9667 Å; angles 90.00, 90.00, 90.00 degrees
Last column: nearest neighbours and their distance in Å.
Sites, in units of the cell vectors:
O1 0.0000 0.5000 0.5883  2 Ta 1.97
Ta1 0.5000 0.5000 0.5661  6 O 1.94-2.03
O2 0.5000 0.5000 0.0781  2 Ta 1.94-2.03
O3 0.5000 0.0000 0.5883  2 Ta 1.97
Pd1 0.0000 0.0000 0.0793  12 O 2.77-2.82

Calculated values
Electronic total energy: -8.027 eV/atom
Symmetry: P4mm
Magnetic moment: 0.2000 μB per atom



[2]
VASP calculation (PBE-GGA) on MgZnNiHg after structural relaxation.

Cell lengths 4.4920, 4.4920, 4.4920 Å; angles 60.00, 60.00, 60.00 degrees
Last column: nearest neighbours and their distance in Å.
Sites, in units of the cell vectors:
Zn1 0.0000 0.0000 0.0000  4 Mg 2.75, 4 Ni 2.75
Ni1 0.7500 0.7500 0.7500  4 Hg 2.75, 4 Zn 2.75
Hg1 0.5000 0.5000 0.5000  4 Mg 2.75, 4 Ni 2.75
Mg1 0.2500 0.2500 0.2500  4 Hg 2.75, 4 Zn 2.75

Calculated values
Offset from the most stable computed form: 0 meV per atom
Symmetry: F-43m
Magnetic moment: 0.0006 μB per atom



[3]
VASP calculation (PBE-GGA) on PrMgSn after structural relaxation.

Cell lengths 5.0829, 5.0829, 5.0829 Å; angles 60.00, 60.00, 60.00 degrees
Last column: nearest neighbours and their distance in Å.
Sites, in units of the cell vectors:
Sn1 0.2500 0.2500 0.2500  4 Mg 3.11, 4 Pr 3.11
Mg1 0.5000 0.5000 0.5000  4 Sn 3.11
Pr1 0.0000 0.0000 0.0000  4 Sn 3.11

Calculated values
Electronic total energy: -3.816 eV/atom
Symmetry: F-43m
Magnetic moment: 0.0014 μB per atom



[4]
VASP calculation (PBE-GGA) on Pr4Si2Ge5 after structural relaxation.

Cell lengths 7.0618, 4.3798, 8.1965 Å; angles 90.00, 91.34, 90.00 degrees
Last column: nearest neighbours and their distance in Å.
Sites, in units of the cell vectors:
Ge1 0.3789 0.0000 0.8751  1 Si 2.55, 1 Ge 2.64
Pr1 0.2688 0.5000 0.1311  8 Ge 3.08-3.32, 2 Si 3.12
Ge2 0.0602 0.0000 0.3457  1 Si 2.49, 1 Ge 2.69
Pr2 0.7312 0.5000 0.8689  8 Ge 3.08-3.32, 2 Si 3.12
Pr3 0.2523 0.5000 0.6167  6 Ge 3.13-3.38, 4 Si 3.18-3.23
Si1 0.4122 0.0000 0.3750  1 Si 2.37, 2 Ge 2.49-2.55
Ge3 0.0000 0.0000 0.0000  4 Ge 2.86-2.89, 4 Pr 3.08
Si2 0.5878 0.0000 0.6250  1 Si 2.37, 2 Ge 2.49-2.55
Pr4 0.7477 0.5000 0.3833  6 Ge 3.13-3.38, 4 Si 3.18-3.23
Ge4 0.6211 0.0000 0.1249  1 Si 2.55, 1 Ge 2.64
Ge5 0.9398 0.0000 0.6543  1 Si 2.49, 1 Ge 2.69

Calculated values
Electronic total energy: -5.529 eV/atom
Symmetry: P2/m
Magnetic moment: 0.0011 μB per atom



[5]
VASP calculation (PBE-GGA) on TlHgPO after structural relaxation.

Cell lengths 4.1855, 4.1855, 9.2138 Å; angles 90.00, 90.00, 90.00 degrees
Last column: nearest neighbours and their distance in Å.
Sites, in units of the cell vectors:
P1 0.5000 0.0000 0.3112  4 Hg 2.72
Tl1 0.0000 0.5000 0.1139  4 O 2.34
Hg1 0.5000 0.5000 0.5000  4 P 2.72, 4 Hg 2.96
O1 0.5000 0.5000 0.0000  4 Tl 2.34
Hg2 0.0000 0.0000 0.5000  4 P 2.72, 4 Hg 2.96
P2 0.0000 0.5000 0.6888  4 Hg 2.72
O2 0.0000 0.0000 0.0000  4 Tl 2.34
Tl2 0.5000 0.0000 0.8861  4 O 2.34

Calculated values
Offset from the most stable computed form: 274 meV per atom
Symmetry: P4/nmm



[6]
VASP calculation (PBE-GGA) on CdHgSO after structural relaxation.

Cell lengths 3.9733, 3.9733, 10.1315 Å; angles 90.00, 90.00, 90.00 degrees
Last column: nearest neighbours and their distance in Å.
Sites, in units of the cell vectors:
O1 0.7500 0.7500 0.8853  1 Cd 2.08
S1 0.7500 0.2500 0.5000  4 Cd 2.70, 4 S 2.81
O2 0.2500 0.2500 0.1147  1 Cd 2.08
Hg1 0.2500 0.2500 0.8842  1 O 2.34
Cd1 0.2500 0.2500 0.3196  1 O 2.08
S2 0.2500 0.7500 0.5000  4 Cd 2.70, 4 S 2.81
Hg2 0.7500 0.7500 0.1158  1 O 2.34
Cd2 0.7500 0.7500 0.6804  1 O 2.08

Calculated values
Offset from the most stable computed form: 549 meV per atom
Symmetry: P4/nmm



[7]
VASP calculation (PBE-GGA) on OsAuSO after structural relaxation.

Cell lengths 3.5109, 3.5109, 10.3101 Å; angles 90.00, 90.00, 90.00 degrees
Last column: nearest neighbours and their distance in Å.
Sites, in units of the cell vectors:
S1 0.2500 0.2500 0.7744  4 Os 2.70, 4 O 2.91
O1 0.7500 0.2500 0.0000  4 Os 2.16
Os1 0.7500 0.7500 0.8782  4 O 2.16
Au1 0.2500 0.7500 0.5000  4 Au 2.48
Au2 0.7500 0.2500 0.5000  4 Au 2.48
O2 0.2500 0.7500 0.0000  4 Os 2.16
Os2 0.2500 0.2500 0.1218  4 O 2.16
S2 0.7500 0.7500 0.2256  4 Os 2.70, 4 O 2.91

Calculated values
Offset from the most stable computed form: 551 meV per atom
Symmetry: P4/nmm
Magnetic moment: 0.0001 μB per atom



[8]
VASP calculation (PBE-GGA) on YMgAlNi after structural relaxation.

Cell lengths 7.9967, 7.9967, 4.5303 Å; angles 94.51, 94.51, 36.48 degrees
Last column: nearest neighbours and their distance in Å.
Sites, in units of the cell vectors:
Y1 0.3515 0.3515 0.8323  4 Ni 2.83-2.92, 3 Al 2.91-3.13, 2 Mg 3.02
Ni1 0.2298 0.2298 0.2975  2 Al 2.42-2.59
Mg1 0.0424 0.0424 0.2597  2 Mg 2.59-2.62, 1 Al 2.75, 1 Ni 2.84
Al1 0.1593 0.1593 0.7577  2 Ni 2.42-2.59
Mg2 0.9576 0.9576 0.7403  2 Mg 2.59-2.62, 1 Al 2.75, 1 Ni 2.84
Ni2 0.7702 0.7702 0.7025  2 Al 2.42-2.59
Y2 0.6485 0.6485 0.1677  4 Ni 2.83-2.92, 3 Al 2.91-3.13, 2 Mg 3.02
Al2 0.8407 0.8407 0.2423  2 Ni 2.42-2.59

Calculated values
Electronic total energy: -4.418 eV/atom
Symmetry: C2/m
Magnetic moment: 0.0006 μB per atom



no.,calculated density (g/cm3)
1,9.046
2,9.042
3,5.077
4,6.441
5,9.299
6,7.497
7,11.374
8,3.849